{
  "formula": "Tb2Zn2Si3",
  "functional": "PBE",
  "state": "relaxed",
  "lattice": [[4.014, 0.000, -0.957], [0.000, 6.812, 0.000], [0.133, 0.000, 9.455]],
  "species": ["Tb", "Tb", "Tb", "Tb", "Zn", "Zn", "Zn", "Zn", "Si", "Si", "Si", "Si", "Si", "Si"],
  "frac_coords": [[0.156, 0.250, 0.312], [0.844, 0.750, 0.688], [0.951, 0.250, 0.901], [0.049, 0.750, 0.099], [0.679, 0.937, 0.358], [0.321, 0.063, 0.642], [0.321, 0.437, 0.642], [0.679, 0.563, 0.358], [0.219, 0.750, 0.438], [0.781, 0.250, 0.562], [0.558, 0.423, 0.115], [0.442, 0.577, 0.885], [0.442, 0.923, 0.885], [0.558, 0.077, 0.115]],
  "e_tot_ev_per_atom": -4.51
}


{
  "formula": "TbZn4Si2",
  "functional": "PBE",
  "state": "relaxed",
  "lattice": [[3.982, 0.000, 0.000], [0.000, 3.994, 0.000], [0.000, -1.997, 7.418]],
  "species": ["Tb", "Zn", "Zn", "Zn", "Zn", "Si", "Si"],
  "frac_coords": [[0.000, 0.000, 0.000], [0.500, 0.817, 0.634], [0.000, 0.688, 0.375], [0.500, 0.183, 0.366], [0.000, 0.312, 0.625], [0.500, 0.579, 0.158], [0.500, 0.421, 0.842]],
  "e_tot_ev_per_atom": -3.18
}


{
  "formula": "TbZnSi",
  "functional": "PBE",
  "state": "relaxed",
  "lattice": [[-2.078, -2.366, -2.654], [3.936, 0.958, -0.741], [1.189, -3.318, 2.026]],
  "species": ["Zn", "Tb", "Si"],
  "frac_coords": [[0.000, 0.000, 0.500], [0.667, 0.333, 0.000], [0.333, 0.667, 0.500]],
  "e_tot_ev_per_atom": -4.41
}